No. 1
SmTl2Cu3F12 PBE optimized geometry; formation energy from raw total energies = -2.141 eV per atom
1.0
3.839 2.217 5.234
-3.839 2.217 5.234
0.000 -4.433 5.234
Sm Tl Cu F
1 2 3 12
Direct
0.000 0.000 0.000
0.389 0.389 0.389
0.611 0.611 0.611
0.000 0.000 0.500
0.000 0.500 0.000
0.500 0.000 0.000
0.095 0.743 0.743
0.133 0.133 0.600
0.133 0.600 0.133
0.257 0.257 0.905
0.257 0.905 0.257
0.400 0.867 0.867
0.600 0.133 0.133
0.743 0.095 0.743
0.743 0.743 0.095
0.867 0.400 0.867
0.867 0.867 0.400
0.905 0.257 0.257

=====

No. 2
Mg14ZnW PBE optimized geometry; relative energy among the computed polymorphs = 0.0 meV per atom
1.0
6.221 0.000 0.000
-3.111 5.388 0.000
0.000 0.000 10.012
Mg Zn W
14 1 1
Direct
0.000 0.000 0.250
0.000 0.000 0.750
0.014 0.507 0.244
0.014 0.507 0.756
0.334 0.167 0.000
0.334 0.167 0.500
0.493 0.507 0.244
0.493 0.507 0.756
0.493 0.986 0.244
0.493 0.986 0.756
0.833 0.167 0.000
0.833 0.167 0.500
0.833 0.666 0.000
0.833 0.666 0.500
0.333 0.667 0.500
0.333 0.667 0.000

=====

No. 3
ZnTe3Cl PBE optimized geometry; relative energy among the computed polymorphs = 403.8 meV per atom; formation energy from raw total energies = 0.765 eV per atom
1.0
5.419 0.000 0.000
0.000 5.419 0.000
0.000 0.000 5.419
Zn Te Cl
1 3 1
Direct
0.000 0.000 0.000
0.000 0.500 0.500
0.500 0.000 0.500
0.500 0.500 0.000
0.500 0.500 0.500

=====

No. 4
AcThPd2O8 PBE optimized geometry; formation energy from raw total energies = -1.520 eV per atom
1.0
-2.803 2.803 5.621
2.803 -2.803 5.621
2.803 2.803 -5.621
Ac Th Pd O
1 1 2 8
Direct
0.000 0.000 0.000
0.250 0.750 0.500
0.500 0.500 0.000
0.750 0.250 0.500
0.014 0.343 0.947
0.231 0.475 0.601
0.370 0.769 0.244
0.396 0.068 0.053
0.525 0.126 0.756
0.657 0.604 0.671
0.874 0.630 0.399
0.932 0.986 0.329

=====

| no. | electronic total energy (eV/atom) |
| --- | --- |
| 1 | -4.60 |
| 2 | -2.15 |
| 3 | -1.74 |
| 4 | -6.65 |